#P
Here is an optimized crystal structure of TlMoP2S from Alexandria. Energies are from GGA-PBE.

The space group is P4/mmm (No. 123) and the conventional cell measures 4.750, 4.750 and 4.866 Å, with angles of 90.00, 90.00 and 90.00 degrees. The distinct sites, in fractional coordinates, are Tl at (0.000, 0.000, 0.000), Mo at (0.500, 0.500, 0.500), P at (0.000, 0.500, 0.500) and S at (0.500, 0.500, 0.000).

The value obtained for the magnetic moment is 0.000 μB per formula unit. Its crystal system is tetragonal.

=====

#Q
Here is an optimized crystal structure of TlMoP2S from Alexandria. Energies are from GGA-PBE.

The space group is P4/mmm (No. 123) and the conventional cell measures 4.944, 4.944 and 5.001 Å, with angles of 90.00, 90.00 and 90.00 degrees. The distinct sites, in fractional coordinates, are Tl at (0.000, 0.000, 0.000), Mo at (0.500, 0.500, 0.500), P at (0.000, 0.500, 0.000) and S at (0.000, 0.000, 0.500).

The value obtained for the magnetic moment is 0.183 μB per formula unit. Its crystal system is tetragonal.

=====

The least stable of them is #Q.